# 1
KLaN3 | PBEsol | relaxed

Cell and atoms, written as extended XYZ:
```
5
Lattice="-0.010 -4.470 1.662 3.544 -1.119 -2.989 3.191 1.229 3.324" Properties=species:S:1:pos:R:3 pbc="T T T"
K 3.363 -2.180 0.999
N 1.772 -0.560 -1.494
N 1.596 0.615 1.662
N -0.005 -2.235 0.831
La 0.000 0.000 0.000
```

Calculated values
Total energy, eV/atom: -5.553
ρ, Mg/m³: 3.4
SG: Pm-3m, No. 221
Uncorrected formation energy, eV per atom: 0.86

***

# 2
KLaN2O | PBEsol | relaxed

Cell and atoms, written as extended XYZ:
```
5
Lattice="-1.403 -0.958 3.732 -3.229 -1.875 -1.695 2.278 -3.813 -0.123" Properties=species:S:1:pos:R:3 pbc="T T T"
K 0.000 0.000 0.000
N -1.615 -0.937 -0.847
N -0.701 -0.479 1.866
O 1.139 -1.906 -0.061
La -1.177 -3.323 0.957
```

Calculated values
Total energy, eV/atom: -4.961
ρ, Mg/m³: 4.9
SG: P4/mmm, No. 123
Uncorrected formation energy, eV per atom: 0.80